A relaxed La2Si crystal, computed with PBEsol.

Cell and atoms, written as CIF:
```
data_La2Si
_chemical_formula_sum 'La8 Si4'
_cell_length_a 7.128
_cell_length_b 7.128
_cell_length_c 7.128
_cell_angle_alpha 90.00
_cell_angle_beta 90.00
_cell_angle_gamma 90.00
_space_group_name_H-M_alt 'F m -3 m'
_space_group_IT_number 225
_space_group_name_Hall '-F 4 2 3'
loop_
_atom_site_label
_atom_site_type_symbol
_atom_site_fract_x
_atom_site_fract_y
_atom_site_fract_z
La1 La 0.250 0.250 0.250
Si1 Si 0.000 0.000 0.000
```

* raw formation energy: -0.466 eV/atom
* E_tot: -71.35 eV/cell

=====

A relaxed La2Si3 crystal, computed with PBEsol.

Cell and atoms, written as CIF:
```
data_La2Si3
_chemical_formula_sum 'La4 Si6'
_cell_length_a 3.981
_cell_length_b 4.250
_cell_length_c 14.285
_cell_angle_alpha 90.00
_cell_angle_beta 90.00
_cell_angle_gamma 90.00
_space_group_name_H-M_alt 'I m m 2'
_space_group_IT_number 44
_space_group_name_Hall 'I 2 -2'
loop_
_atom_site_label
_atom_site_type_symbol
_atom_site_fract_x
_atom_site_fract_y
_atom_site_fract_z
La1 La 0.000 0.000 0.000
La2 La 0.000 0.500 0.250
Si1 Si 0.000 0.000 0.421
Si2 Si 0.000 0.500 0.665
Si3 Si 0.000 0.500 0.829
```

* raw formation energy: -0.673 eV/atom
* E_tot: -62.59 eV/cell

=====

A relaxed La5Si4 crystal, computed with PBEsol.

Cell and atoms, written as CIF:
```
data_La5Si4
_chemical_formula_sum 'La20 Si16'
_cell_length_a 7.947
_cell_length_b 7.947
_cell_length_c 15.305
_cell_angle_alpha 90.00
_cell_angle_beta 90.00
_cell_angle_gamma 90.00
_space_group_name_H-M_alt 'P 41 21 2'
_space_group_IT_number 92
_space_group_name_Hall 'P 4abw 2nw'
loop_
_atom_site_label
_atom_site_type_symbol
_atom_site_fract_x
_atom_site_fract_y
_atom_site_fract_z
La1 La 0.011 0.378 0.051
La2 La 0.019 0.874 0.124
La3 La 0.193 0.807 0.750
Si1 Si 0.079 0.710 0.941
Si2 Si 0.169 0.196 0.797
```

* raw formation energy: -0.701 eV/atom
* E_tot: -224.11 eV/cell

=====

A relaxed La3Si crystal, computed with PBEsol.

Cell and atoms, written as CIF:
```
data_La3Si
_chemical_formula_sum 'La6 Si2'
_cell_length_a 6.9764
_cell_length_b 6.9764
_cell_length_c 5.1287
_cell_angle_alpha 90.00
_cell_angle_beta 90.00
_cell_angle_gamma 120.00
_space_group_name_H-M_alt 'P 63/m m c'
_space_group_IT_number 194
_space_group_name_Hall '-P 6c 2c'
loop_
_atom_site_label
_atom_site_type_symbol
_atom_site_fract_x
_atom_site_fract_y
_atom_site_fract_z
La1 La 0.1823 0.3646 0.2500
Si1 Si 0.3333 0.6667 0.7500
```

* raw formation energy: -0.365 eV/atom
* E_tot: -46.49 eV/cell

=====

A relaxed SrLaSi crystal, computed with PBEsol.

Cell and atoms, written as CIF:
```
data_SrLaSi
_chemical_formula_sum 'Sr4 La4 Si4'
_cell_length_a 7.189
_cell_length_b 7.189
_cell_length_c 7.189
_cell_angle_alpha 90.00
_cell_angle_beta 90.00
_cell_angle_gamma 90.00
_space_group_name_H-M_alt 'F -4 3 m'
_space_group_IT_number 216
_space_group_name_Hall 'F -4 2 3'
loop_
_atom_site_label
_atom_site_type_symbol
_atom_site_fract_x
_atom_site_fract_y
_atom_site_fract_z
Sr1 Sr 0.000 0.000 0.000
La1 La 0.250 0.250 0.250
Si1 Si 0.000 0.000 0.500
```

* raw formation energy: 0.267 eV/atom
* E_tot: -48.53 eV/cell

=====

A relaxed SrLaSi3 crystal, computed with PBEsol.

Cell and atoms, written as CIF:
```
data_SrLaSi3
_chemical_formula_sum 'Sr1 La1 Si3'
_cell_length_a 5.183
_cell_length_b 5.183
_cell_length_c 5.183
_cell_angle_alpha 90.00
_cell_angle_beta 90.00
_cell_angle_gamma 90.00
_space_group_name_H-M_alt 'P m -3 m'
_space_group_IT_number 221
_space_group_name_Hall '-P 4 2 3'
loop_
_atom_site_label
_atom_site_type_symbol
_atom_site_fract_x
_atom_site_fract_y
_atom_site_fract_z
Sr1 Sr 0.000 0.000 0.000
La1 La 0.500 0.500 0.500
Si1 Si 0.000 0.000 0.500
```

* raw formation energy: 0.830 eV/atom
* E_tot: -20.28 eV/cell

=====

A relaxed SrLaSi crystal, computed with PBEsol.

Cell and atoms, written as CIF:
```
data_SrLaSi
_chemical_formula_sum 'Sr2 La2 Si2'
_cell_length_a 3.645
_cell_length_b 3.645
_cell_length_c 14.369
_cell_angle_alpha 90.00
_cell_angle_beta 90.00
_cell_angle_gamma 90.00
_space_group_name_H-M_alt 'I 4 m m'
_space_group_IT_number 107
_space_group_name_Hall 'I 4 -2'
loop_
_atom_site_label
_atom_site_type_symbol
_atom_site_fract_x
_atom_site_fract_y
_atom_site_fract_z
Sr1 Sr 0.000 0.000 0.000
La1 La 0.000 0.000 0.255
Si1 Si 0.000 0.000 0.638
```

* raw formation energy: -0.255 eV/atom
* E_tot: -27.40 eV/cell

=====

A relaxed LaTa2Si crystal, computed with PBEsol.

Cell and atoms, written as CIF:
```
data_LaTa2Si
_chemical_formula_sum 'La2 Ta4 Si2'
_cell_length_a 8.716
_cell_length_b 3.297
_cell_length_c 6.147
_cell_angle_alpha 90.00
_cell_angle_beta 100.08
_cell_angle_gamma 90.00
_space_group_name_H-M_alt 'C 1 m 1'
_space_group_IT_number 8
_space_group_name_Hall 'C -2y'
loop_
_atom_site_label
_atom_site_type_symbol
_atom_site_fract_x
_atom_site_fract_y
_atom_site_fract_z
La1 La 0.000 0.000 0.000
Ta1 Ta 0.041 0.500 0.536
Ta2 Ta 0.297 0.500 0.353
Si1 Si 0.267 0.000 0.679
```

* raw formation energy: 0.119 eV/atom
* E_tot: -71.44 eV/cell